Material: TlCuPbS2
Method: DFT, PBE
State: optimized geometry

## Properties
- Final energy: -3.99 eV per atom
- Energy relative to the elements, uncorrected: -0.306 eV/atom
- Crystal system: monoclinic
- Theoretical density: 6.25 g/cm³

Cell lengths 7.4252, 5.0555, 8.0783 Å; angles 90.00, 109.12, 90.00 degrees
Fractional positions:
Tl  0.0000  0.1895  0.2500
Tl  0.0000  0.8105  0.7500
Cu  0.5000  0.0000  0.0000
Cu  0.5000  0.0000  0.5000
Pb  0.5000  0.4229  0.7500
Pb  0.5000  0.5771  0.2500
S  0.2625  0.2503  0.9929
S  0.2625  0.7497  0.4929
S  0.7375  0.2503  0.5071
S  0.7375  0.7497  0.0071